# 1
Entry from the Alexandria database: a geometry-optimized TcTeW2 structure (PBE-GGA).

Output
Fermi-level density of states = 4.62 states/eV/cell
ΔE_f (raw) = 0.743 eV/atom
Mass density = 14.4 g/cm3
SG = P4/mmm (123)
Volume = 17.11 Å³/atom

abc: 4.705 3.814 3.814
angles: 90.00 90.00 90.00
Sites, in units of the cell vectors:
Tc: 0.500 0.500 0.000
Te: 0.500 0.000 0.500
W: 0.000 0.000 0.000
W: 0.000 0.500 0.500

---

# 2
Entry from the Alexandria database: a geometry-optimized Tc2TeW structure (PBE-GGA).

Output
Fermi-level density of states = 4.62 states/eV/cell
ΔE_f (raw) = 0.394 eV/atom
Mass density = 12.2 g/cm3
SG = R-3m (166)
Volume = 17.21 Å³/atom

abc: 8.696 8.696 8.696
angles: 20.23 20.23 20.23
Sites, in units of the cell vectors:
Tc: 0.005 0.005 0.005
Tc: 0.495 0.495 0.495
Te: 0.250 0.250 0.250
W: 0.750 0.750 0.750

---

# 3
Entry from the Alexandria database: a geometry-optimized TcTeW2 structure (PBE-GGA).

Output
Fermi-level density of states = 3.04 states/eV/cell
ΔE_f (raw) = 0.584 eV/atom
Mass density = 14.4 g/cm3
SG = P2/m (10)
Volume = 17.06 Å³/atom

abc: 4.255 3.003 6.110
angles: 60.92 90.00 90.00
Sites, in units of the cell vectors:
Tc: 0.500 0.250 0.250
Te: 0.500 0.750 0.750
W: 0.000 0.990 0.013
W: 0.000 0.510 0.487

---

# 4
Entry from the Alexandria database: a geometry-optimized Tc2TeW structure (PBE-GGA).

Output
Fermi-level density of states = 3.63 states/eV/cell
ΔE_f (raw) = 0.527 eV/atom
Mass density = 12.5 g/cm3
SG = R3m (160)
Volume = 16.86 Å³/atom

abc: 8.982 8.982 8.982
angles: 19.04 19.04 19.04
Sites, in units of the cell vectors:
Tc: 0.999 0.999 0.999
Tc: 0.253 0.253 0.253
Te: 0.502 0.502 0.502
W: 0.746 0.746 0.746

---

# 5
Entry from the Alexandria database: a geometry-optimized TcTeW2 structure (PBE-GGA).

Output
Fermi-level density of states = 3.68 states/eV/cell
ΔE_f (raw) = 0.469 eV/atom
Mass density = 14.5 g/cm3
SG = P4/mmm (123)
Volume = 16.99 Å³/atom

abc: 3.112 3.112 7.017
angles: 90.00 90.00 90.00
Sites, in units of the cell vectors:
Tc: 0.500 0.500 0.250
Te: 0.500 0.500 0.750
W: 0.000 0.000 0.018
W: 0.000 0.000 0.482

---

# 6
Entry from the Alexandria database: a geometry-optimized TcTeW2 structure (PBE-GGA).

Output
Fermi-level density of states = 2.52 states/eV/cell
ΔE_f (raw) = 0.503 eV/atom
Mass density = 14.4 g/cm3
SG = C2/m (12)
Volume = 17.09 Å³/atom

abc: 5.131 5.131 4.578
angles: 78.31 78.31 35.49
Sites, in units of the cell vectors:
Tc: 0.750 0.750 0.750
Te: 0.250 0.250 0.250
W: 0.007 0.007 0.976
W: 0.493 0.493 0.524